No. 1
# CaF, relaxed, DFT PBE
data_CaF
_chemical_formula_sum 'Ca6 F6'
_symmetry_space_group_name_H-M 'I m m 2'
_symmetry_Int_Tables_number 44
_symmetry_space_group_name_Hall 'I 2 -2'
_cell_length_a 3.905
_cell_length_b 11.747
_cell_length_c 5.674
_cell_angle_alpha 90.00
_cell_angle_beta 90.00
_cell_angle_gamma 90.00
loop_
_atom_site_label
_atom_site_fract_x
_atom_site_fract_y
_atom_site_fract_z
Ca1 0.000 0.000 0.000
Ca2 0.000 0.333 0.962
F1 0.000 0.175 0.214
F2 0.000 0.500 0.729
# * energy above the most stable polymorph in this dataset: 6.77 kJ/mol of atoms
# * raw formation energy: -5.68 eV/f.u.
# * calculated volume: 260.3 Å³/cell
# * M_tot: 0.0 μB per formula unit

***

No. 2
# LiPr2TiPd6, relaxed, DFT PBE
data_LiPr2TiPd6
_chemical_formula_sum 'Li2 Pr4 Ti2 Pd12'
_symmetry_space_group_name_H-M 'C 1 2/m 1'
_symmetry_Int_Tables_number 12
_symmetry_space_group_name_Hall '-C 2y'
_cell_length_a 10.386
_cell_length_b 6.004
_cell_length_c 7.188
_cell_angle_alpha 90.00
_cell_angle_beta 118.71
_cell_angle_gamma 90.00
loop_
_atom_site_label
_atom_site_fract_x
_atom_site_fract_y
_atom_site_fract_z
Li1 0.000 0.000 0.000
Pr1 0.226 0.000 0.678
Ti1 0.000 0.500 0.500
Pd1 0.017 0.262 0.791
Pd2 0.244 0.000 0.210
# * energy relative to the elements: -10.6 kcal/mol of atoms
# * calculated volume: 393.1 Å³/cell
# * M_tot: 0.0 μB per formula unit

***

No. 3
# BeSiW2, relaxed, DFT PBE
data_BeSiW2
_chemical_formula_sum 'Be2 Si2 W4'
_symmetry_space_group_name_H-M 'A m m 2'
_symmetry_Int_Tables_number 38
_symmetry_space_group_name_Hall 'A 2 -2'
_cell_length_a 3.476
_cell_length_b 3.297
_cell_length_c 9.082
_cell_angle_alpha 90.00
_cell_angle_beta 90.00
_cell_angle_gamma 90.00
loop_
_atom_site_label
_atom_site_fract_x
_atom_site_fract_y
_atom_site_fract_z
Be1 0.000 0.000 0.000
Si1 0.500 0.000 0.146
W1 0.000 0.000 0.730
W2 0.500 0.000 0.431
# * raw formation energy: -0.41 eV/f.u.
# * calculated volume: 104.1 Å³/cell
# * M_tot: 0.0 μB per formula unit

***

No. 4
# In3ReCl, relaxed, DFT PBE
data_In3ReCl
_chemical_formula_sum 'In3 Re1 Cl1'
_symmetry_space_group_name_H-M 'P m -3 m'
_symmetry_Int_Tables_number 221
_symmetry_space_group_name_Hall '-P 4 2 3'
_cell_length_a 5.282
_cell_length_b 5.282
_cell_length_c 5.282
_cell_angle_alpha 90.00
_cell_angle_beta 90.00
_cell_angle_gamma 90.00
loop_
_atom_site_label
_atom_site_fract_x
_atom_site_fract_y
_atom_site_fract_z
In1 0.000 0.000 0.500
Re1 0.000 0.000 0.000
Cl1 0.500 0.500 0.500
# * energy above the most stable polymorph in this dataset: 0.00 kJ/mol of atoms
# * raw formation energy: 1.48 eV/f.u.
# * calculated volume: 147.3 Å³/cell
# * M_tot: 0.7 μB per formula unit

***

No. 5
# Pm6AgGe5, relaxed, DFT PBE
data_Pm6AgGe5
_chemical_formula_sum 'Pm12 Ag2 Ge10'
_symmetry_space_group_name_H-M 'C 1 2/m 1'
_symmetry_Int_Tables_number 12
_symmetry_space_group_name_Hall '-C 2y'
_cell_length_a 7.667
_cell_length_b 13.240
_cell_length_c 7.071
_cell_angle_alpha 90.00
_cell_angle_beta 111.05
_cell_angle_gamma 90.00
loop_
_atom_site_label
_atom_site_fract_x
_atom_site_fract_y
_atom_site_fract_z
Pm1 0.240 0.173 0.238
Pm2 0.241 0.000 0.752
Ag1 0.000 0.500 0.500
Ge1 0.000 0.000 0.000
Ge2 0.000 0.167 0.500
Ge3 0.000 0.341 0.000
# * energy relative to the elements: -13.6 kcal/mol of atoms
# * calculated volume: 669.9 Å³/cell
# * M_tot: 0.0 μB per formula unit

***

No. 6
# Tb8Tm2Mg, relaxed, DFT PBE
data_Tb8Tm2Mg
_chemical_formula_sum 'Tb16 Tm4 Mg2'
_symmetry_space_group_name_H-M 'C 1 2/m 1'
_symmetry_Int_Tables_number 12
_symmetry_space_group_name_Hall '-C 2y'
_cell_length_a 12.011
_cell_length_b 11.142
_cell_length_c 5.870
_cell_angle_alpha 90.00
_cell_angle_beta 105.52
_cell_angle_gamma 90.00
loop_
_atom_site_label
_atom_site_fract_x
_atom_site_fract_y
_atom_site_fract_z
Tb1 0.080 0.000 0.287
Tb2 0.097 0.259 0.800
Tb3 0.230 0.000 0.897
Tm1 0.133 0.500 0.502
Mg1 0.000 0.500 0.000
# * energy relative to the elements: 9.5 kcal/mol of atoms
# * energy above the most stable polymorph in this dataset: 24.12 kJ/mol of atoms
# * calculated volume: 756.9 Å³/cell
# * M_tot: 0.0 μB per formula unit